A) Material: LuSnAsO
Method: DFT, PBE
State: relaxed

volume	162	Å³/cell

Cell lengths 4.026, 4.026, 10.016 Å; angles 90.00, 90.00, 90.00 degrees
Positions (direct):
Lu 0.750 0.750 0.905
Lu 0.250 0.250 0.095
Sn 0.750 0.250 0.500
Sn 0.250 0.750 0.500
As 0.750 0.750 0.267
As 0.250 0.250 0.733
O 0.750 0.250 0.000
O 0.250 0.750 0.000

***

B) Material: LuSnAsO
Method: DFT, PBE
State: relaxed

volume	156	Å³/cell

Cell lengths 5.006, 5.006, 6.231 Å; angles 90.00, 90.00, 90.00 degrees
Positions (direct):
Lu 0.750 0.250 0.500
Lu 0.250 0.750 0.500
O 0.750 0.250 0.000
O 0.250 0.750 0.000
Sn 0.250 0.250 0.086
Sn 0.750 0.750 0.914
As 0.750 0.750 0.328
As 0.250 0.250 0.672

***

Relative energy table, unit kJ/mol of atoms: A) 0.0; B) 53.3